1.
# HfNbNi3 | Alexandria via LeMat-Bulk | PBE | optimized geometry
# - Energy relative to the elements: 0.83 eV per atom
# - DOS(E_F): 5.15 states/eV/cell
# - E above lowest polymorph: 0 kJ/mol of formula units
# - Final energy: -33.23 eV/cell
data_HfNbNi3
_cell_length_a 4.4704
_cell_length_b 4.4704
_cell_length_c 4.4704
_cell_angle_alpha 90.00
_cell_angle_beta 90.00
_cell_angle_gamma 90.00
_space_group_name_H-M_alt 'P m -3 m'
_space_group_IT_number 221
_space_group_name_Hall '-P 4 2 3'
loop_
_atom_site_label
_atom_site_fract_x
_atom_site_fract_y
_atom_site_fract_z
_atom_site_occupancy
Hf1 0.0000 0.0000 0.0000 1
Nb1 0.5000 0.5000 0.5000 1
Ni1 0.0000 0.5000 0.5000 1


2.
# Hf2NbNi | Alexandria via LeMat-Bulk | PBE | optimized geometry
# - Energy relative to the elements: -0.19 eV per atom
# - DOS(E_F): 4.04 states/eV/cell
# - E above lowest polymorph: 0 kJ/mol of formula units
# - Final energy: -36.53 eV/cell
data_Hf2NbNi
_cell_length_a 3.2412
_cell_length_b 3.2412
_cell_length_c 6.8934
_cell_angle_alpha 90.00
_cell_angle_beta 90.00
_cell_angle_gamma 90.00
_space_group_name_H-M_alt 'P 4/m m m'
_space_group_IT_number 123
_space_group_name_Hall '-P 4 2'
loop_
_atom_site_label
_atom_site_fract_x
_atom_site_fract_y
_atom_site_fract_z
_atom_site_occupancy
Hf1 0.0000 0.0000 0.2311 1
Nb1 0.5000 0.5000 0.5000 1
Ni1 0.5000 0.5000 0.0000 1


3.
# HfNbNi2 | Alexandria via LeMat-Bulk | PBE | optimized geometry
# - Energy relative to the elements: -0.23 eV per atom
# - DOS(E_F): 3.58 states/eV/cell
# - E above lowest polymorph: 0 kJ/mol of formula units
# - Final energy: -32.51 eV/cell
data_HfNbNi2
_cell_length_a 3.0995
_cell_length_b 3.0995
_cell_length_c 6.3848
_cell_angle_alpha 90.00
_cell_angle_beta 90.00
_cell_angle_gamma 90.00
_space_group_name_H-M_alt 'P 4/m m m'
_space_group_IT_number 123
_space_group_name_Hall '-P 4 2'
loop_
_atom_site_label
_atom_site_fract_x
_atom_site_fract_y
_atom_site_fract_z
_atom_site_occupancy
Hf1 0.0000 0.0000 0.0000 1
Nb1 0.0000 0.0000 0.5000 1
Ni1 0.5000 0.5000 0.2420 1


4.
# Hf2NbNi | Alexandria via LeMat-Bulk | PBE | optimized geometry
# - Energy relative to the elements: -0.08 eV per atom
# - DOS(E_F): 28.41 states/eV/cell
# - E above lowest polymorph: 42 kJ/mol of formula units
# - Final energy: -144.38 eV/cell
data_Hf2NbNi
_cell_length_a 6.5838
_cell_length_b 6.5838
_cell_length_c 6.5838
_cell_angle_alpha 90.00
_cell_angle_beta 90.00
_cell_angle_gamma 90.00
_space_group_name_H-M_alt 'F m -3 m'
_space_group_IT_number 225
_space_group_name_Hall '-F 4 2 3'
loop_
_atom_site_label
_atom_site_fract_x
_atom_site_fract_y
_atom_site_fract_z
_atom_site_occupancy
Hf1 0.2500 0.2500 0.2500 1
Nb1 0.0000 0.0000 0.0000 1
Ni1 0.0000 0.0000 0.5000 1


5.
# Hf2NbNi6 | Alexandria via LeMat-Bulk | PBE | optimized geometry
# - Energy relative to the elements: -0.30 eV per atom
# - DOS(E_F): 7.05 states/eV/cell
# - Final energy: -67.33 eV/cell
data_Hf2NbNi6
_cell_length_a 5.1770
_cell_length_b 5.1770
_cell_length_c 5.4943
_cell_angle_alpha 90.00
_cell_angle_beta 90.00
_cell_angle_gamma 120.00
_space_group_name_H-M_alt 'P -3 m 1'
_space_group_IT_number 164
_space_group_name_Hall '-P 3 2"'
loop_
_atom_site_label
_atom_site_fract_x
_atom_site_fract_y
_atom_site_fract_z
_atom_site_occupancy
Hf1 0.3333 0.6667 0.3489 1
Nb1 0.0000 0.0000 0.5000 1
Ni1 0.1778 0.3555 0.8322 1


6.
# HfNbNi | Alexandria via LeMat-Bulk | PBE | optimized geometry
# - Energy relative to the elements: -0.23 eV per atom
# - DOS(E_F): 6.81 states/eV/cell
# - E above lowest polymorph: 4 kJ/mol of formula units
# - Final energy: -53.01 eV/cell
data_HfNbNi
_cell_length_a 3.4475
_cell_length_b 3.5935
_cell_length_c 8.5087
_cell_angle_alpha 90.00
_cell_angle_beta 101.62
_cell_angle_gamma 90.00
_space_group_name_H-M_alt 'P 1 21/m 1'
_space_group_IT_number 11
_space_group_name_Hall '-P 2yb'
loop_
_atom_site_label
_atom_site_fract_x
_atom_site_fract_y
_atom_site_fract_z
_atom_site_occupancy
Hf1 0.0979 0.2500 0.1967 1
Nb1 0.2881 0.2500 0.5746 1
Ni1 0.4528 0.2500 0.9062 1